VASP calculation (SCAN) on TlSbAsSe2 at its PBEsol-relaxed geometry.

Results
For the density of states at the Fermi level, the calculation gives 4.4 states/eV per cell. The total energy comes out at -33.1316 eV/atom.

a b c (Å): 5.211 5.211 5.195
angles (deg): 90.00 90.00 90.00
Fractional positions:
Tl  0.000  0.000  0.000
Sb  0.500  0.500  0.500
As  0.000  0.000  0.500
Se  0.000  0.500  0.000
Se  0.500  0.000  0.000